No. 1
The following is a PBE calculation of crystalline YBeRh3 at its relaxed geometry, from Alexandria.

Output
The distance to the lowest polymorph of the same formula is 0 meV per atom. For the density of states at the Fermi level, the calculation gives 0.934 states/eV per atom.

Structure (POSCAR):
```
YBeRh3
1.0
4.2620 0.0000 0.0000
0.0000 4.2620 0.0000
0.0000 0.0000 4.2620
Y Rh Be
1 3 1
Direct
0.5000 0.5000 0.5000
0.5000 0.0000 0.0000
0.0000 0.5000 0.0000
0.0000 0.0000 0.5000
0.0000 0.0000 0.0000
```

No. 2
The following is a PBE calculation of crystalline Ca2AcThHg4 at its relaxed geometry, from Alexandria.

Output
For the density of states at the Fermi level, the calculation gives 0.480 states/eV per atom.

Structure (POSCAR):
```
Ca2AcThHg4
1.0
5.4616 0.0000 0.0000
2.7308 4.7299 0.0000
2.7308 1.5766 8.9820
Hg Ca Th Ac
4 2 1 1
Direct
0.1285 0.1285 0.6146
0.6205 0.6205 0.1385
0.3795 0.3795 0.8615
0.8715 0.8715 0.3854
0.7507 0.7507 0.7478
0.2493 0.2493 0.2522
0.5000 0.5000 0.5000
0.0000 0.0000 0.0000
```

Number 1: DFT total energy -35.0 eV/cell, energy of formation -0.560 eV/atom, V 15.5 A^3/atom. Number 2: DFT total energy -20.4 eV/cell, energy of formation -0.456 eV/atom, V 29.0 A^3/atom.